A geometry-optimized DyPu3Pb4 structure, computed with PBE-GGA.

a b c (Å): 4.6602 4.8868 9.8328
angles (deg): 90.00 90.00 90.00
Each line ends with the local moment (μB).
Fractional positions:
Pb (0.0000, 0.5000, 0.2470)  -0.03
Pb (0.0000, 0.0000, 0.0000)  -0.01
Pb (0.0000, 0.0000, 0.5000)  -0.04
Pb (0.0000, 0.5000, 0.7530)  -0.03
Pu (0.5000, 0.0000, 0.2588)  5.61
Pu (0.5000, 0.0000, 0.7412)  5.61
Pu (0.5000, 0.5000, 0.5000)  5.66
Dy (0.5000, 0.5000, 0.0000)  0.36

Values from the calculation:
SG = Pmmm, No. 47
ΔH_f (0 K) = -0.230 eV/atom

=====

A geometry-optimized Dy2PuPb structure, computed with PBE-GGA.

a b c (Å): 4.6335 4.9318 4.9318
angles (deg): 90.00 90.00 90.00
Each line ends with the local moment (μB).
Fractional positions:
Dy (0.0000, 0.5000, 0.0000)  0.39
Dy (0.0000, 0.0000, 0.5000)  0.39
Pb (0.5000, 0.0000, 0.0000)  -0.05
Pu (0.5000, 0.5000, 0.5000)  5.66

Values from the calculation:
SG = P4/mmm, No. 123
ΔH_f (0 K) = -0.182 eV/atom
energy above the lowest structure with this stoichiometry = 0.0 meV per atom

=====

- Which of these has the highest ΔH_f (0 K)?
  Dy2PuPb